{"formula": "Tm2SnPb", "functional": "PBE", "state": "relaxed", "magnetic_moment_mub_per_cell": 0.00, "lattice": [[6.128, 0.000, 0.000], [0.000, 4.346, 0.000], [-2.912, 0.000, 8.264]], "species": ["Tm", "Tm", "Tm", "Tm", "Sn", "Sn", "Pb", "Pb"], "frac_coords": [[0.187, 0.250, 0.432], [0.296, 0.750, 0.062], [0.704, 0.250, 0.938], [0.813, 0.750, 0.568], [0.105, 0.250, 0.799], [0.895, 0.750, 0.201], [0.405, 0.750, 0.699], [0.595, 0.250, 0.301]]}

=====

{"formula": "TmSnPb", "functional": "PBE", "state": "relaxed", "magnetic_moment_mub_per_cell": 0.00, "lattice": [[2.280, -8.058, 0.000], [2.280, 8.058, 0.000], [0.000, 0.000, 4.406]], "species": ["Tm", "Tm", "Sn", "Sn", "Pb", "Pb"], "frac_coords": [[0.092, 0.908, 0.750], [0.908, 0.092, 0.250], [0.434, 0.566, 0.750], [0.566, 0.434, 0.250], [0.253, 0.747, 0.250], [0.747, 0.253, 0.750]]}

=====

{"formula": "TmSnPb", "functional": "PBE", "state": "relaxed", "magnetic_moment_mub_per_cell": 0.00, "lattice": [[5.345, 0.000, 0.000], [-2.673, 4.629, 0.000], [0.000, 0.000, 3.408]], "species": ["Tm", "Sn", "Pb"], "frac_coords": [[0.000, 0.000, 0.000], [0.333, 0.667, 0.432], [0.667, 0.333, 0.556]]}

=====

How do the records compare in formation energy from the elements? In the order shown, they have -2.1 -1.3 -0.6 eV/f.u..